No. 1
Below is crystalline HgB2P at its relaxed geometry, with properties calculated at the PBE level.

distance to the lowest polymorph of the same formula = 4.97 eV per formula unit
spin magnetization = 0.0 μB/f.u.
crystal system = cubic
energy of formation = 1818 meV per atom

abc: 4.253 4.253 4.253
angles: 60.00 60.00 60.00
Atoms (fractional coordinates):
P  0.000  0.000  0.000
B  0.250  0.250  0.250
B  0.750  0.750  0.750
Hg  0.500  0.500  0.500

No. 2
Below is crystalline HgBP3 at its relaxed geometry, with properties calculated at the PBE level.

distance to the lowest polymorph of the same formula = 0.00 eV per formula unit
spin magnetization = 0.0 μB/f.u.
crystal system = cubic
energy of formation = 923 meV per atom

abc: 4.259 4.259 4.259
angles: 90.00 90.00 90.00
Atoms (fractional coordinates):
P  0.000  0.500  0.000
P  0.000  0.000  0.500
P  0.500  0.000  0.000
B  0.000  0.000  0.000
Hg  0.500  0.500  0.500

No. 3
Below is crystalline Hg2BP at its relaxed geometry, with properties calculated at the PBE level.

distance to the lowest polymorph of the same formula = 1.09 eV per formula unit
spin magnetization = 0.0 μB/f.u.
crystal system = cubic
energy of formation = 1263 meV per atom

abc: 4.719 4.719 4.719
angles: 60.00 60.00 60.00
Atoms (fractional coordinates):
P  0.500  0.500  0.500
B  0.000  0.000  0.000
Hg  0.250  0.250  0.250
Hg  0.750  0.750  0.750

No. 4
Below is crystalline HgB2P at its relaxed geometry, with properties calculated at the PBE level.

distance to the lowest polymorph of the same formula = 0.00 eV per formula unit
spin magnetization = 0.0 μB/f.u.
crystal system = tetragonal
energy of formation = 574 meV per atom

abc: 5.108 5.108 5.722
angles: 63.49 63.49 90.00
Atoms (fractional coordinates):
P  0.500  0.500  0.000
P  0.250  0.750  0.500
B  0.560  0.125  0.250
B  0.190  0.625  0.250
B  0.375  0.440  0.750
B  0.875  0.810  0.750
Hg  0.000  0.000  0.000
Hg  0.750  0.250  0.500

No. 5
Below is crystalline HgBP2 at its relaxed geometry, with properties calculated at the PBE level.

distance to the lowest polymorph of the same formula = 0.00 eV per formula unit
spin magnetization = 0.0 μB/f.u.
crystal system = tetragonal
energy of formation = 181 meV per atom

abc: 5.396 5.396 6.106
angles: 63.78 63.78 90.00
Atoms (fractional coordinates):
P  0.539  0.125  0.250
P  0.211  0.625  0.250
P  0.375  0.461  0.750
P  0.875  0.789  0.750
B  0.500  0.500  0.000
B  0.250  0.750  0.500
Hg  0.000  0.000  0.000
Hg  0.750  0.250  0.500

No. 6
Below is crystalline HgBP3 at its relaxed geometry, with properties calculated at the PBE level.

distance to the lowest polymorph of the same formula = 6.81 eV per formula unit
spin magnetization = 0.0 μB/f.u.
crystal system = cubic
energy of formation = 2285 meV per atom

abc: 5.017 5.017 5.017
angles: 90.00 90.00 90.00
Atoms (fractional coordinates):
P  0.000  0.500  0.000
P  0.000  0.000  0.500
P  0.500  0.000  0.000
B  0.500  0.500  0.500
Hg  0.000  0.000  0.000

No. 7
Below is crystalline Re2HgBP at its relaxed geometry, with properties calculated at the PBE level.

spin magnetization = 0.0 μB/f.u.
crystal system = tetragonal
energy of formation = 1335 meV per atom

abc: 4.580 3.711 4.580
angles: 90.00 90.00 90.00
Atoms (fractional coordinates):
Re  0.000  0.000  0.500
Re  0.500  0.000  0.000
B  0.000  0.500  0.000
Hg  0.500  0.500  0.500
P  0.000  0.000  0.000

No. 8
Below is crystalline HgBP2Rh at its relaxed geometry, with properties calculated at the PBE level.

spin magnetization = 0.0 μB/f.u.
crystal system = tetragonal
energy of formation = 714 meV per atom

abc: 4.780 3.981 4.780
angles: 90.00 90.00 90.00
Atoms (fractional coordinates):
P  0.000  0.000  0.500
P  0.500  0.000  0.000
B  0.000  0.500  0.000
Rh  0.000  0.000  0.000
Hg  0.500  0.500  0.500

No. 9
Below is crystalline SnHgB2P at its relaxed geometry, with properties calculated at the PBE level.

spin magnetization = 0.0 μB/f.u.
crystal system = tetragonal
energy of formation = 1626 meV per atom

abc: 4.227 5.736 4.227
angles: 90.00 90.00 90.00
Atoms (fractional coordinates):
P  0.000  0.500  0.000
B  0.000  0.000  0.500
B  0.500  0.000  0.000
Hg  0.000  0.000  0.000
Sn  0.500  0.500  0.500

No. 10
Below is crystalline TaHg2BP at its relaxed geometry, with properties calculated at the PBE level.

spin magnetization = 0.0 μB/f.u.
crystal system = tetragonal
energy of formation = 1419 meV per atom

abc: 5.463 4.734 5.463
angles: 90.00 90.00 90.00
Atoms (fractional coordinates):
P  0.000  0.500  0.000
B  0.500  0.500  0.500
Hg  0.000  0.000  0.500
Hg  0.500  0.000  0.000
Ta  0.000  0.000  0.000

No. 11
Below is crystalline Y2HgBP at its relaxed geometry, with properties calculated at the PBE level.

spin magnetization = 0.0 μB/f.u.
crystal system = tetragonal
energy of formation = 1236 meV per atom

abc: 5.600 4.748 5.600
angles: 90.00 90.00 90.00
Atoms (fractional coordinates):
Y  0.000  0.000  0.500
Y  0.500  0.000  0.000
P  0.000  0.500  0.000
B  0.500  0.500  0.500
Hg  0.000  0.000  0.000

No. 12
Below is crystalline Pa3HgB at its relaxed geometry, with properties calculated at the PBE level.

spin magnetization = 0.0 μB/f.u.
crystal system = cubic
energy of formation = 70 meV per atom

abc: 4.878 4.878 4.878
angles: 90.00 90.00 90.00
Atoms (fractional coordinates):
B  0.000  0.000  0.000
Pa  0.000  0.500  0.000
Pa  0.000  0.000  0.500
Pa  0.500  0.000  0.000
Hg  0.500  0.500  0.500